Crystalline KAsBrO2 at its relaxed geometry, computed with PBE-GGA. Values from VASP.

Summary:
- DFT total energy: -4.633 eV per atom
- Magnetization: 0.78 μB per cell
- N(E_F): 5.31 states/eV per cell
- Uncorrected formation energy: -26.88 kcal/mol of atoms

Geometry as Quantum ESPRESSO input:
```
&SYSTEM
  ibrav = 0, nat = 10, ntyp = 4
/
ATOMIC_SPECIES
K 39.10 K.upf
As 74.92 As.upf
Br 79.90 Br.upf
O 16.00 O.upf
ATOMIC_POSITIONS crystal
K 0.250 0.711 0.988
K 0.750 0.289 0.012
As 0.250 0.608 0.438
As 0.750 0.392 0.562
Br 0.250 0.962 0.735
Br 0.750 0.038 0.265
O 0.750 0.571 0.474
O 0.250 0.429 0.526
O 0.750 0.481 0.799
O 0.250 0.519 0.201
CELL_PARAMETERS angstrom
-3.707 0.929 1.598
-3.623 -3.783 -6.207
1.627 -4.472 6.373
```

---

Crystalline ThSiTc at its relaxed geometry, computed with PBE-GGA. Values from VASP.

Summary:
- Distance to the lowest polymorph of the same formula: 184 meV/atom
- DFT total energy: -8.184 eV per atom
- Magnetization: 0.00 μB per cell
- N(E_F): 3.49 states/eV per cell
- Uncorrected formation energy: -10.32 kcal/mol of atoms

Geometry as Quantum ESPRESSO input:
```
&SYSTEM
  ibrav = 0, nat = 3, ntyp = 3
/
ATOMIC_SPECIES
Si 28.09 Si.upf
Tc 98.00 Tc.upf
Th 232.04 Th.upf
ATOMIC_POSITIONS crystal
Si 0.167 0.667 0.333
Tc 0.167 0.000 0.000
Th 0.667 0.333 0.667
CELL_PARAMETERS angstrom
4.109 0.000 0.000
0.000 4.226 0.000
0.000 -2.113 3.659
```

---

Crystalline HfIrBr2 at its relaxed geometry, computed with PBE-GGA. Values from VASP.

Summary:
- Distance to the lowest polymorph of the same formula: 329 meV/atom
- DFT total energy: -5.086 eV per atom
- Magnetization: 0.00 μB per cell
- N(E_F): 2.71 states/eV per cell
- Uncorrected formation energy: 10.48 kcal/mol of atoms

Geometry as Quantum ESPRESSO input:
```
&SYSTEM
  ibrav = 0, nat = 4, ntyp = 3
/
ATOMIC_SPECIES
Ir 192.22 Ir.upf
Hf 178.49 Hf.upf
Br 79.90 Br.upf
ATOMIC_POSITIONS crystal
Ir 0.500 0.500 0.500
Hf 0.000 0.000 0.000
Br 0.250 0.250 0.250
Br 0.750 0.750 0.750
CELL_PARAMETERS angstrom
0.000 3.341 3.341
3.341 0.000 3.341
3.341 3.341 0.000
```

---

Crystalline CuRe3 at its relaxed geometry, computed with PBE-GGA. Values from VASP.

Summary:
- DFT total energy: -10.028 eV per atom
- Magnetization: 0.00 μB per cell
- N(E_F): 3.29 states/eV per cell
- Energy of formation from the pure elements: 0.3317 eV/atom

Geometry as Quantum ESPRESSO input:
```
&SYSTEM
  ibrav = 0, nat = 4, ntyp = 2
/
ATOMIC_SPECIES
Cu 63.55 Cu.upf
Re 186.21 Re.upf
ATOMIC_POSITIONS crystal
Cu 0.000 0.000 0.000
Re 0.000 0.500 0.000
Re 0.500 0.232 0.500
Re 0.500 0.768 0.500
CELL_PARAMETERS angstrom
3.174 0.000 0.000
0.000 5.687 0.000
0.000 0.000 3.174
```

---

Crystalline YTlAs2 at its relaxed geometry, computed with PBE-GGA. Values from VASP.

Summary:
- Distance to the lowest polymorph of the same formula: 0 meV/atom
- DFT total energy: -5.152 eV per atom
- Magnetization: 0.00 μB per cell
- N(E_F): 2.46 states/eV per cell
- Energy of formation from the pure elements: -0.6199 eV/atom

Geometry as Quantum ESPRESSO input:
```
&SYSTEM
  ibrav = 0, nat = 4, ntyp = 3
/
ATOMIC_SPECIES
Y 88.91 Y.upf
Tl 204.38 Tl.upf
As 74.92 As.upf
ATOMIC_POSITIONS crystal
Y 0.500 0.750 0.750
Tl 0.500 0.250 0.250
As 0.000 0.058 0.942
As 0.000 0.442 0.558
CELL_PARAMETERS angstrom
-1.312 3.685 0.119
-3.373 -1.250 1.498
-0.912 -0.570 7.614
```

---

Crystalline In2PbBr2Cl2 at its relaxed geometry, computed with PBE-GGA. Values from VASP.

Summary:
- DFT total energy: -3.170 eV per atom
- Magnetization: 0.00 μB per cell
- N(E_F): 0.00 states/eV per cell
- Uncorrected formation energy: -19.66 kcal/mol of atoms

Geometry as Quantum ESPRESSO input:
```
&SYSTEM
  ibrav = 0, nat = 7, ntyp = 4
/
ATOMIC_SPECIES
In 114.82 In.upf
Pb 207.20 Pb.upf
Br 79.90 Br.upf
Cl 35.45 Cl.upf
ATOMIC_POSITIONS crystal
In 0.135 0.578 0.731
In 0.865 0.422 0.269
Pb 0.000 0.000 0.000
Br 0.208 0.255 0.583
Br 0.792 0.745 0.417
Cl 0.479 0.228 0.042
Cl 0.521 0.772 0.958
CELL_PARAMETERS angstrom
-1.348 -3.838 1.406
7.654 -2.480 0.571
2.622 -0.537 7.640
```

---

Crystalline Ce2IrPb at its relaxed geometry, computed with PBE-GGA. Values from VASP.

Summary:
- Distance to the lowest polymorph of the same formula: 0 meV/atom
- DFT total energy: -6.670 eV per atom
- Magnetization: 1.27 μB per cell
- N(E_F): 13.45 states/eV per cell
- Energy of formation from the pure elements: -0.5611 eV/atom

Geometry as Quantum ESPRESSO input:
```
&SYSTEM
  ibrav = 0, nat = 8, ntyp = 3
/
ATOMIC_SPECIES
Ce 140.12 Ce.upf
Ir 192.22 Ir.upf
Pb 207.20 Pb.upf
ATOMIC_POSITIONS crystal
Ce 0.701 0.769 0.167
Ce 0.701 0.504 0.745
Ce 0.201 0.212 0.471
Ce 0.201 0.947 0.049
Ir 0.201 0.572 0.272
Ir 0.701 0.145 0.944
Pb 0.201 0.050 0.764
Pb 0.701 0.667 0.452
CELL_PARAMETERS angstrom
-0.962 -3.381 -3.609
3.382 1.325 -2.143
1.552 -8.008 7.089
```

---

Crystalline Tm5Sn2Te2 at its relaxed geometry, computed with PBE-GGA. Values from VASP.

Summary:
- Distance to the lowest polymorph of the same formula: 0 meV/atom
- DFT total energy: -4.969 eV per atom
- Magnetization: 0.00 μB per cell
- N(E_F): 16.97 states/eV per cell
- Uncorrected formation energy: -20.69 kcal/mol of atoms

Geometry as Quantum ESPRESSO input:
```
&SYSTEM
  ibrav = 0, nat = 18, ntyp = 3
/
ATOMIC_SPECIES
Tm 168.93 Tm.upf
Sn 118.71 Sn.upf
Te 127.60 Te.upf
ATOMIC_POSITIONS crystal
Tm 0.000 0.000 0.000
Tm 0.500 0.500 0.000
Tm 0.837 0.797 0.267
Tm 0.163 0.471 0.267
Tm 0.337 0.971 0.267
Tm 0.663 0.297 0.267
Tm 0.163 0.203 0.733
Tm 0.837 0.529 0.733
Tm 0.663 0.029 0.733
Tm 0.337 0.703 0.733
Sn 0.638 0.860 0.000
Sn 0.362 0.140 0.000
Sn 0.138 0.640 0.000
Sn 0.862 0.360 0.000
Te 0.000 0.203 0.405
Te 0.500 0.703 0.405
Te 0.000 0.797 0.595
Te 0.500 0.297 0.595
CELL_PARAMETERS angstrom
8.030 0.000 0.000
0.000 7.093 -3.646
0.000 -0.066 8.592
```

---

Crystalline CsSiAs2 at its relaxed geometry, computed with PBE-GGA. Values from VASP.

Summary:
- DFT total energy: -4.132 eV per atom
- Magnetization: 0.00 μB per cell
- N(E_F): 8.70 states/eV per cell
- Uncorrected formation energy: -5.50 kcal/mol of atoms

Geometry as Quantum ESPRESSO input:
```
&SYSTEM
  ibrav = 0, nat = 16, ntyp = 3
/
ATOMIC_SPECIES
Cs 132.91 Cs.upf
Si 28.09 Si.upf
As 74.92 As.upf
ATOMIC_POSITIONS crystal
Cs 0.317 0.421 0.135
Cs 0.183 0.921 0.865
Cs 0.817 0.079 0.135
Cs 0.683 0.579 0.865
Si 0.553 0.115 0.605
Si 0.053 0.385 0.605
Si 0.447 0.885 0.395
Si 0.947 0.615 0.395
As 0.620 0.750 0.242
As 0.120 0.750 0.242
As 0.918 0.389 0.336
As 0.880 0.250 0.758
As 0.082 0.611 0.664
As 0.582 0.889 0.664
As 0.380 0.250 0.758
As 0.418 0.111 0.336
CELL_PARAMETERS angstrom
-4.852 -3.507 -0.896
4.734 -4.545 -7.849
5.716 -4.179 5.867
```

---

Crystalline SrHfMn2 at its relaxed geometry, computed with PBE-GGA. Values from VASP.

Summary:
- Distance to the lowest polymorph of the same formula: 0 meV/atom
- DFT total energy: -6.861 eV per atom
- Magnetization: 6.03 μB per cell
- N(E_F): 5.87 states/eV per cell
- Energy of formation from the pure elements: 0.6321 eV/atom

Geometry as Quantum ESPRESSO input:
```
&SYSTEM
  ibrav = 0, nat = 4, ntyp = 3
/
ATOMIC_SPECIES
Sr 87.62 Sr.upf
Mn 54.94 Mn.upf
Hf 178.49 Hf.upf
ATOMIC_POSITIONS crystal
Sr 0.000 0.000 0.000
Mn 0.250 0.250 0.250
Mn 0.750 0.750 0.750
Hf 0.500 0.500 0.500
CELL_PARAMETERS angstrom
4.323 0.495 2.376
0.340 -1.187 4.801
2.543 -4.024 1.384
```

---

Crystalline Ce2Pm3TaN6 at its relaxed geometry, computed with PBE-GGA. Values from VASP.

Summary:
- DFT total energy: -8.741 eV per atom
- Magnetization: 0.00 μB per cell
- N(E_F): 7.30 states/eV per cell
- Uncorrected formation energy: -32.60 kcal/mol of atoms

Geometry as Quantum ESPRESSO input:
```
&SYSTEM
  ibrav = 0, nat = 12, ntyp = 4
/
ATOMIC_SPECIES
Ce 140.12 Ce.upf
Pm 145.00 Pm.upf
Ta 180.95 Ta.upf
N 14.01 N.upf
ATOMIC_POSITIONS crystal
Ce 0.333 0.667 0.000
Ce 0.667 0.333 0.000
Pm 0.166 0.834 0.500
Pm 0.834 0.166 0.500
Pm 0.500 0.500 0.500
Ta 0.000 0.000 0.000
N 0.927 0.621 0.783
N 0.769 0.769 0.226
N 0.073 0.379 0.217
N 0.621 0.927 0.783
N 0.231 0.231 0.774
N 0.379 0.073 0.217
CELL_PARAMETERS angstrom
6.040 0.002 0.006
-3.017 5.233 0.006
-1.003 -1.737 5.719
```

---

Crystalline LiMnReTc at its relaxed geometry, computed with PBE-GGA. Values from VASP.

Summary:
- DFT total energy: -8.329 eV per atom
- Magnetization: 2.01 μB per cell
- N(E_F): 2.58 states/eV per cell
- Energy of formation from the pure elements: 0.1454 eV/atom

Geometry as Quantum ESPRESSO input:
```
&SYSTEM
  ibrav = 0, nat = 4, ntyp = 4
/
ATOMIC_SPECIES
Re 186.21 Re.upf
Mn 54.94 Mn.upf
Tc 98.00 Tc.upf
Li 6.94 Li.upf
ATOMIC_POSITIONS crystal
Re 0.250 0.250 0.250
Mn 0.000 0.000 0.000
Tc 0.500 0.500 0.500
Li 0.750 0.750 0.750
CELL_PARAMETERS angstrom
-2.475 -1.391 -3.127
-2.589 -3.272 0.653
-4.175 0.613 0.180
```